Entry 1:
VASP calculation (GGA-PBE) on a relaxed structure of NaTaRh2I.

Its total energy is -4.651 eV/atom. The value obtained for the energy relative to the elements, uncorrected is 6.2 eV/f.u.

It has space group P4/mmm (No. 123), with a = 4.912 Å, b = 4.912 Å, c = 5.039 Å, α = 90.00°, β = 90.00° and γ = 90.00°. The distinct sites, in fractional coordinates, are Na at (0.000, 0.000, 0.000), Ta at (0.500, 0.500, 0.000), Rh at (0.000, 0.500, 0.500) and I at (0.500, 0.500, 0.500).

Entry 2:
VASP calculation (GGA-PBE) on a relaxed structure of Zn2TcMo.

The calculation puts the energy relative to the lowest polymorph listed for this composition at 0.0000 eV per atom. The formation energy is 0.03 eV per atom. Its total energy is -5.902 eV/atom.

It has space group P4mm (No. 99), with a = 3.176 Å, b = 3.176 Å, c = 5.946 Å, α = 90.00°, β = 90.00° and γ = 90.00°. The distinct sites, in fractional coordinates, are Zn at (0.000, 0.000, 0.000), Zn at (0.500, 0.500, 0.227), Tc at (0.500, 0.500, 0.722) and Mo at (0.000, 0.000, 0.512).

Entry 3:
VASP calculation (GGA-PBE) on a relaxed structure of K6OF3.

Its total energy is -3.531 eV/atom. The value obtained for the energy relative to the elements, uncorrected is -18.2 eV/f.u.

It has space group Cmc2_1 (No. 36), with a = 10.521 Å, b = 15.704 Å, c = 6.632 Å, α = 90.00°, β = 90.00° and γ = 90.00°. The distinct sites, in fractional coordinates, are K at (0.000, 0.062, 0.000), K at (0.000, 0.166, 0.529), K at (0.158, 0.311, 0.049), K at (0.168, 0.450, 0.540), O at (0.000, 0.204, 0.166), F at (0.000, 0.447, 0.865) and F at (0.182, 0.060, 0.702).

Entry 4:
VASP calculation (GGA-PBE) on a relaxed structure of CuWI3.

The calculation puts the energy relative to the lowest polymorph listed for this composition at 0.3313 eV per atom. Its total energy is -3.052 eV/atom. The value obtained for the energy relative to the elements, uncorrected is 6.4 eV/f.u.

It has space group Pm-3m (No. 221), with a = 5.358 Å, b = 5.358 Å, c = 5.358 Å, α = 90.00°, β = 90.00° and γ = 90.00°. The distinct sites, in fractional coordinates, are Cu at (0.000, 0.000, 0.000), W at (0.500, 0.500, 0.500) and I at (0.000, 0.000, 0.500).

Entry 5:
VASP calculation (GGA-PBE) on a relaxed structure of Sn2PAu.

The formation energy is -0.09 eV per atom. Its total energy is -4.261 eV/atom.

It has space group R-3m (No. 166, hexagonal axes), with a = 3.8471 Å, b = 3.8471 Å, c = 21.2054 Å, α = 90.00°, β = 90.00° and γ = 120.00°. The distinct sites, in fractional coordinates, are Sn at (0.0000, 0.0000, 0.2454), P at (0.0000, 0.0000, 0.5000) and Au at (0.0000, 0.0000, 0.0000).

Entry 6:
VASP calculation (GGA-PBE) on a relaxed structure of Sr2AsW.

The formation energy is 0.25 eV per atom. Its total energy is -4.993 eV/atom.

It has space group Cm (No. 8), with a = 11.813 Å, b = 3.561 Å, c = 5.610 Å, α = 90.00°, β = 111.44° and γ = 90.00°. The distinct sites, in fractional coordinates, are Sr at (0.000, 0.000, 0.000), Sr at (0.188, 0.000, 0.647), As at (0.251, 0.500, 0.179) and W at (0.398, 0.000, 0.406).